Density functional theory data (PBE with a Hubbard U) for crystalline PmMnC2O8 at its relaxed geometry.

Cell: 8.9605 4.8851 6.0209 Å, 90.00 115.60 90.00°
Last column: nearest neighbours and their distance in Å.
Space group C2/m (No. 12)
Inequivalent atoms, fractional coordinates:
Pm  0.0000  0.0000  0.0000 x2  6 O 2.44-2.55
Mn  0.0000  0.5000  0.5000 x2  4 O 1.97
C  0.1994  0.0000  0.6832 x4  4 O 1.35-1.41
O  0.1291  0.5000  0.1952 x4  1 C 1.39
O  0.1328  0.2302  0.7504 x8  1 C 1.41
O  0.1705  0.0000  0.4436 x4  1 C 1.35

energy = -7.30 eV per atom